Run A
VASP calculation (SCAN) on a crystal of K2FeRh relaxed with PBEsol.

Cell lengths 5.1833, 5.1833, 5.1833 Å; angles 60.00, 60.00, 60.00 degrees
Closest atoms and distances in Å follow each position.
Sites, in units of the cell vectors:
K 0.2500 0.2500 0.2500  4 Fe 3.17, 4 Rh 3.17
Rh 0.5000 0.5000 0.5000  8 K 3.17
K 0.7500 0.7500 0.7500  4 Rh 3.17, 4 Fe 3.17
Fe 0.0000 0.0000 0.0000  8 K 3.17

Computed properties:
N(E_F) (states/eV per cell): 3.0
Symmetry: No. 225



Run B
VASP calculation (SCAN) on a crystal of K2FeRh relaxed with PBEsol.

Cell lengths 2.9678, 5.4776, 5.4979 Å; angles 90.00, 119.24, 90.00 degrees
Closest atoms and distances in Å follow each position.
Sites, in units of the cell vectors:
Rh 0.5000 0.5000 0.0000  4 Fe 2.75-2.90, 2 Rh 2.97
K 0.0023 0.0000 0.7520  6 K 2.73-2.97
K 0.9977 0.0000 0.2480  6 K 2.73-2.97
Fe 0.5000 0.5000 0.5000  4 Rh 2.75-2.90, 2 Fe 2.97

Computed properties:
N(E_F) (states/eV per cell): 2.0
Symmetry: No. 10



Stability, descending: run B, run A